Entry 1:
# GGA-PBE CrSb, relaxed
# ΔE_f (raw) (eV per atom): 0.377
# Total moment (Bohr magnetons per cell): 21.2
data_CrSb
_chemical_formula_sum 'Cr6 Sb6'
_cell_length_a 10.123
_cell_length_b 4.299
_cell_length_c 6.540
_cell_angle_alpha 90.00
_cell_angle_beta 113.83
_cell_angle_gamma 90.00
_symmetry_space_group_name_H-M 'C 1 m 1'
_symmetry_Int_Tables_number 8
loop_
_symmetry_equiv_pos_as_xyz
'x,y,z'
'x,-y,z'
'x+1/2,y+1/2,z'
'x+1/2,-y+1/2,z'
loop_
_atom_site_label
_atom_site_fract_x
_atom_site_fract_y
_atom_site_fract_z
Cr1 0.000 0.000 0.000
Cr2 0.130 0.500 0.760
Cr3 0.366 0.000 0.204
Sb1 0.004 0.000 0.475
Sb2 0.176 0.500 0.206
Sb3 0.332 0.000 0.766

***

Entry 2:
# GGA-PBE Ca2Ag2Rh, relaxed
# Excess energy over the best structure of this formula in the dataset (meV per atom): 0
# Total moment (Bohr magnetons per cell): 0.0
data_Ca2Ag2Rh
_chemical_formula_sum 'Ca4 Ag4 Rh2'
_cell_length_a 7.198
_cell_length_b 7.198
_cell_length_c 4.434
_cell_angle_alpha 90.00
_cell_angle_beta 90.00
_cell_angle_gamma 90.00
_symmetry_space_group_name_H-M 'P 4/m b m'
_symmetry_Int_Tables_number 127
_symmetry_space_group_name_Hall '-P 4 2ab'
loop_
_atom_site_label
_atom_site_fract_x
_atom_site_fract_y
_atom_site_fract_z
Ca1 0.181 0.319 0.000
Ag1 0.135 0.635 0.500
Rh1 0.000 0.000 0.500

***

Density of states at the Fermi level (states/eV/f.u.)
1.02, 2.80
E (eV/atom)
-6.4954, -3.5665
Calculated density (g/cm³)
6.65, 5.77